# Li6ZnHg (GGA-PBE, relaxed)
# E in eV/atom: -1.813
# Calculated volume in Å³ per atom: 16.1
data_Li6ZnHg
_chemical_formula_sum 'Li6 Zn1 Hg1'
_symmetry_space_group_name_H-M 'P 4/m m m'
_symmetry_Int_Tables_number 123
_symmetry_space_group_name_Hall '-P 4 2'
_cell_length_a 4.498
_cell_length_b 4.498
_cell_length_c 6.350
_cell_angle_alpha 90.00
_cell_angle_beta 90.00
_cell_angle_gamma 90.00
loop_
_atom_site_label
_atom_site_type_symbol
_atom_site_fract_x
_atom_site_fract_y
_atom_site_fract_z
Li1 Li 0.000 0.000 0.000
Li2 Li 0.000 0.500 0.245
Li3 Li 0.500 0.500 0.500
Zn1 Zn 0.500 0.500 0.000
Hg1 Hg 0.000 0.000 0.500